Record 1
A plane-wave DFT calculation with PBE-GGA was carried out for a relaxed structure of ScBi2CS.

Values from the calculation:
* calculated density: 7.43 Mg/m³
* raw formation energy: 0.420 eV/atom
* total magnetization: 0.0 μB per formula unit

a b c (Å): 5.032 4.478 5.032
angles (deg): 90.00 90.00 90.00
Fractional positions:
Sc (0.000, 0.500, 0.000)
C (0.000, 0.000, 0.000)
S (0.500, 0.500, 0.500)
Bi (0.000, 0.000, 0.500)
Bi (0.500, 0.000, 0.000)

Record 2
A plane-wave DFT calculation with PBE-GGA was carried out for a relaxed structure of CsHg3Au.

Values from the calculation:
* calculated density: 9.14 Mg/m³
* E_form: -0.85 eV per formula unit
* offset from the most stable computed form: 54.5 meV per atom
* total magnetization: 0.0 μB per formula unit

a b c (Å): 7.886 7.886 7.886
angles (deg): 58.94 58.94 58.94
Fractional positions:
Cs (0.103, 0.103, 0.103)
Cs (0.897, 0.897, 0.897)
Au (0.302, 0.302, 0.302)
Au (0.698, 0.698, 0.698)
Hg (0.562, 0.150, 0.562)
Hg (0.150, 0.562, 0.562)
Hg (0.438, 0.438, 0.850)
Hg (0.850, 0.438, 0.438)
Hg (0.438, 0.850, 0.438)
Hg (0.562, 0.562, 0.150)

Record 3
A plane-wave DFT calculation with PBE-GGA was carried out for a relaxed structure of Sr2Ac2Ru.

Values from the calculation:
* calculated density: 5.89 Mg/m³
* E_form: -0.32 eV per formula unit
* offset from the most stable computed form: 35.9 meV per atom
* total magnetization: 0.0 μB per formula unit

a b c (Å): 5.737 5.737 6.256
angles (deg): 90.00 90.00 90.00
Fractional positions:
Sr (0.500, 0.500, 0.500)
Sr (0.000, 0.000, 0.500)
Ac (0.000, 0.500, 0.000)
Ac (0.500, 0.000, 0.000)
Ru (0.000, 0.000, 0.000)

Record 4
A plane-wave DFT calculation with PBE-GGA was carried out for a relaxed structure of Pm2TePb.

Values from the calculation:
* calculated density: 8.78 Mg/m³
* offset from the most stable computed form: 163.9 meV per atom
* raw formation energy: -0.874 eV/atom
* total magnetization: 0.5 μB per formula unit

a b c (Å): 3.758 3.758 8.365
angles (deg): 90.00 90.00 90.00
Fractional positions:
Pb (0.500, 0.500, 0.500)
Te (0.500, 0.500, 0.000)
Pm (0.000, 0.000, 0.762)
Pm (0.000, 0.000, 0.238)

Record 5
A plane-wave DFT calculation with PBE-GGA was carried out for a relaxed structure of KAl2Ge2Au6.

Values from the calculation:
* calculated density: 9.53 Mg/m³
* E_form: -2.31 eV per formula unit
* total magnetization: 0.0 μB per formula unit

a b c (Å): 7.919 7.350 10.383
angles (deg): 132.65 107.19 39.53
Fractional positions:
K (0.500, 0.000, 0.500)
Al (0.784, 0.552, 0.802)
Al (0.216, 0.448, 0.198)
Ge (0.968, 0.095, 0.887)
Ge (0.032, 0.905, 0.113)
Au (0.372, 0.816, 0.002)
Au (0.287, 0.161, 0.826)
Au (0.806, 0.259, 0.463)
Au (0.713, 0.839, 0.174)
Au (0.194, 0.741, 0.537)
Au (0.628, 0.184, 0.998)

Record 6
A plane-wave DFT calculation with PBE-GGA was carried out for a relaxed structure of PuTlGa2.

Values from the calculation:
* calculated density: 10.70 Mg/m³
* E_form: -0.25 eV per formula unit
* offset from the most stable computed form: 125.7 meV per atom
* total magnetization: 5.5 μB per formula unit

a b c (Å): 5.053 5.053 5.052
angles (deg): 59.99 59.99 60.00
Fractional positions:
Tl (0.500, 0.500, 0.500)
Ga (0.250, 0.250, 0.250)
Ga (0.750, 0.750, 0.750)
Pu (0.000, 0.000, 0.000)

Record 7
A plane-wave DFT calculation with PBE-GGA was carried out for a relaxed structure of Na3In5Ga6.

Values from the calculation:
* calculated density: 5.29 Mg/m³
* E_form: -1.04 eV per formula unit
* total magnetization: 0.0 μB per formula unit

a b c (Å): 4.681 10.729 13.263
angles (deg): 90.00 90.00 90.00
Fractional positions:
Na (0.000, 0.247, 0.702)
Na (0.500, 0.753, 0.202)
Na (0.500, 0.753, 0.798)
Na (0.000, 0.246, 0.000)
Na (0.500, 0.754, 0.500)
Na (0.000, 0.247, 0.298)
In (0.000, 0.523, 0.841)
In (0.000, 0.884, 0.654)
In (0.000, 0.744, 0.000)
In (0.500, 0.477, 0.659)
In (0.500, 0.256, 0.500)
In (0.000, 0.523, 0.159)
In (0.500, 0.477, 0.341)
In (0.000, 0.884, 0.346)
In (0.500, 0.116, 0.846)
In (0.500, 0.116, 0.154)
Ga (0.000, 0.966, 0.860)
Ga (0.500, 0.034, 0.640)
Ga (0.500, 0.373, 0.862)
Ga (0.500, 0.562, 0.000)
Ga (0.000, 0.438, 0.500)
Ga (0.000, 0.627, 0.638)
Ga (0.000, 0.627, 0.362)
Ga (0.500, 0.923, 0.000)
Ga (0.000, 0.966, 0.140)
Ga (0.500, 0.373, 0.138)
Ga (0.000, 0.077, 0.500)
Ga (0.500, 0.034, 0.360)

Record 8
A plane-wave DFT calculation with PBE-GGA was carried out for a relaxed structure of Pu2InSb.

Values from the calculation:
* calculated density: 11.24 Mg/m³
* offset from the most stable computed form: 103.2 meV per atom
* raw formation energy: -0.294 eV/atom
* total magnetization: 12.2 μB per formula unit

a b c (Å): 5.330 5.330 5.330
angles (deg): 60.00 60.00 60.00
Fractional positions:
Sb (0.000, 0.000, 0.000)
In (0.500, 0.500, 0.500)
Pu (0.250, 0.250, 0.250)
Pu (0.750, 0.750, 0.750)

Record 9
A plane-wave DFT calculation with PBE-GGA was carried out for a relaxed structure of NiPtRh.

Values from the calculation:
* calculated density: 14.39 Mg/m³
* E_form: -0.08 eV per formula unit
* offset from the most stable computed form: 2.6 meV per atom
* total magnetization: 1.2 μB per formula unit

a b c (Å): 3.853 11.108 3.848
angles (deg): 90.00 90.00 90.00
Fractional positions:
Ni (0.000, 0.250, 0.250)
Ni (0.000, 0.750, 0.750)
Ni (0.500, 0.750, 0.250)
Ni (0.500, 0.250, 0.750)
Pt (0.000, 0.591, 0.250)
Pt (0.000, 0.409, 0.750)
Pt (0.500, 0.091, 0.250)
Pt (0.500, 0.909, 0.750)
Rh (0.000, 0.911, 0.250)
Rh (0.000, 0.089, 0.750)
Rh (0.500, 0.411, 0.250)
Rh (0.500, 0.589, 0.750)

Record 10
A plane-wave DFT calculation with PBE-GGA was carried out for a relaxed structure of Tc2HgI.

Values from the calculation:
* calculated density: 12.17 Mg/m³
* offset from the most stable computed form: 0.0 meV per atom
* raw formation energy: 1.042 eV/atom
* total magnetization: 0.0 μB per formula unit

a b c (Å): 4.657 4.657 4.657
angles (deg): 60.00 60.00 60.00
Fractional positions:
I (0.000, 0.000, 0.000)
Hg (0.500, 0.500, 0.500)
Tc (0.250, 0.250, 0.250)
Tc (0.750, 0.750, 0.750)

Record 11
A plane-wave DFT calculation with PBE-GGA was carried out for a relaxed structure of CaCoSe.

Values from the calculation:
* calculated density: 5.16 Mg/m³
* offset from the most stable computed form: 374.5 meV per atom
* raw formation energy: -0.378 eV/atom
* total magnetization: 1.0 μB per formula unit

a b c (Å): 4.328 4.328 4.328
angles (deg): 60.00 60.00 60.00
Fractional positions:
Ca (0.500, 0.500, 0.500)
Co (0.750, 0.750, 0.750)
Se (0.000, 0.000, 0.000)

Record 12
A plane-wave DFT calculation with PBE-GGA was carried out for a relaxed structure of SrNiRh2.

Values from the calculation:
* calculated density: 8.53 Mg/m³
* E_form: 0.88 eV per formula unit
* offset from the most stable computed form: 296.1 meV per atom
* total magnetization: 0.0 μB per formula unit

a b c (Å): 5.624 5.624 5.624
angles (deg): 149.80 129.47 60.00
Fractional positions:
Ni (0.250, 0.750, 0.500)
Rh (0.033, 0.033, 0.000)
Rh (0.467, 0.467, 0.000)
Sr (0.750, 0.250, 0.500)